(1)
Crystalline MgMo2P at its relaxed geometry. Source: the Alexandria database, functional PBE.

Values from the calculation:
Formation energy from the elements, eV/atom: 0.37
Offset from the most stable computed form, eV/atom: 0.371

a b c (Å): 4.367 4.367 4.367
angles (deg): 60.00 60.00 60.00
Element x y z (fractional)
Mg 0.000 0.000 0.000
Mo 0.250 0.250 0.250
Mo 0.750 0.750 0.750
P 0.500 0.500 0.500


(2)
Crystalline BaMnTe2 at its relaxed geometry. Source: the Alexandria database, functional PBE.

Values from the calculation:
E_form (uncorrected), eV/atom: 0.17

a b c (Å): 5.387 5.387 5.387
angles (deg): 60.00 60.00 60.00
Element x y z (fractional)
Ba 0.000 0.000 0.000
Mn 0.500 0.500 0.500
Te 0.250 0.250 0.250
Te 0.750 0.750 0.750


(3)
Crystalline YHfNO2 at its relaxed geometry. Source: the Alexandria database, functional PBE.

Values from the calculation:
E_form (uncorrected), eV/atom: -0.95

a b c (Å): 4.163 4.163 4.449
angles (deg): 90.00 90.00 90.00
Element x y z (fractional)
Y 0.000 0.000 0.000
Hf 0.500 0.500 0.500
N 0.000 0.000 0.500
O 0.000 0.500 0.000
O 0.500 0.000 0.000


(4)
Crystalline KThAu2 at its relaxed geometry. Source: the Alexandria database, functional PBE.

Values from the calculation:
Formation energy from the elements, eV/atom: -0.44
Offset from the most stable computed form, eV/atom: 0.000

a b c (Å): 3.807 3.807 8.192
angles (deg): 90.00 90.00 90.00
Element x y z (fractional)
K 0.000 0.000 0.000
Th 0.000 0.000 0.500
Au 0.500 0.500 0.311
Au 0.500 0.500 0.689


(5)
Crystalline Sc2AuF at its relaxed geometry. Source: the Alexandria database, functional PBE.

Values from the calculation:
Offset from the most stable computed form, eV/atom: 0.189
E_form (uncorrected), eV/atom: -1.32

a b c (Å): 6.794 6.794 6.794
angles (deg): 132.37 132.37 69.65
Element x y z (fractional)
Sc 0.051 0.625 0.926
Sc 0.375 0.301 0.426
Sc 0.699 0.125 0.074
Sc 0.875 0.949 0.574
Au 0.250 0.750 0.500
Au 0.500 0.500 0.000
F 0.000 0.000 0.000
F 0.750 0.250 0.500